Record 1
Compound: TiCuB3
Source: Alexandria via LeMat-Bulk
Functional: PBEsol
Structure: relaxed

a = 4.0304 Å, b = 4.0304 Å, c = 4.0304 Å
α = 90.00°, β = 90.00°, γ = 90.00°
Fractional positions:
B (0.5000, 0.0000, 0.0000)
B (0.0000, 0.5000, 0.0000)
B (0.0000, 0.0000, 0.5000)
Cu (0.5000, 0.5000, 0.5000)
Ti (0.0000, 0.0000, 0.0000)

## Properties
N(E_F) = 1.6 states/eV per cell
E_form = 1.778 eV/atom

=====

Record 2
Compound: TiCuB
Source: Alexandria via LeMat-Bulk
Functional: PBEsol
Structure: relaxed

a = 2.9994 Å, b = 3.2278 Å, c = 6.7739 Å
α = 76.22°, β = 90.00°, γ = 90.00°
Fractional positions:
Cu (0.7500, 0.7953, 0.4094)
Cu (0.2500, 0.2047, 0.5906)
B (0.7500, 0.9658, 0.0683)
B (0.2500, 0.0342, 0.9317)
Ti (0.2500, 0.4075, 0.1851)
Ti (0.7500, 0.5925, 0.8149)

## Properties
N(E_F) = 2.3 states/eV per cell
E_form = -0.640 eV/atom